Compound: CoP4H10O16
Source: the Alexandria database
Functional: PBE+U
Structure: optimized geometry

Cell: 5.336 7.208 8.513 Å, 100.15 97.93 92.33°
Last column: magnetic moment on the atom in μB.
Element x y z (fractional)
Co  0.500  0.500  0.500  2.77
P  0.936  0.325  0.280  0.01
P  0.064  0.675  0.720  0.01
P  0.549  0.821  0.262  0.00
P  0.451  0.179  0.738  0.00
H  0.137  0.584  0.243  0.00
H  0.863  0.416  0.757  0.00
H  0.107  0.077  0.162  0.00
H  0.893  0.923  0.838  0.00
H  0.734  0.628  0.103  0.00
H  0.266  0.372  0.897  0.00
H  0.521  0.128  0.269  0.00
H  0.479  0.872  0.731  0.00
H  0.838  0.810  0.468  0.00
H  0.162  0.190  0.532  0.00
O  0.969  0.504  0.197  0.00
O  0.031  0.496  0.803  0.00
O  0.949  0.145  0.146  0.00
O  0.051  0.855  0.854  0.00
O  0.668  0.316  0.324  0.03
O  0.332  0.684  0.676  0.03
O  0.153  0.336  0.420  0.02
O  0.847  0.664  0.580  0.02
O  0.612  0.728  0.091  0.00
O  0.388  0.272  0.909  0.00
O  0.409  0.001  0.233  0.00
O  0.591  0.999  0.767  0.00
O  0.800  0.889  0.379  0.00
O  0.200  0.111  0.621  0.00
O  0.387  0.684  0.330  0.02
O  0.613  0.316  0.670  0.02

Values from the calculation:
- Energy above the most stable polymorph in this dataset: 0 meV/atom
- Crystal system: triclinic
- Total energy: -6.081 eV per atom
- Magnetization: 3.00 μB per formula unit